## Nd3Sc2Bi4 (GGA-PBE)

Data for Nd3Sc2Bi4 after structural relaxation.

The structure belongs to space group C2/m (No. 12); the cell edges are 14.917, 4.534 and 10.015 Å and the angles 90.00°, 124.11° and 90.00°. Symmetry generates all atoms from Nd at (0.000, 0.000, 0.000), Nd at (0.139, 0.500, 0.712), Sc at (0.185, 0.500, 0.366), Bi at (0.066, 0.000, 0.394) and Bi at (0.177, 0.500, 0.070).

The calculation puts the total magnetization at 2.66 μB per cell. The value obtained for the density of states at the Fermi level is 7.605 states/eV/f.u. As for the total DFT energy (no corrections): -97.6 eV per cell. The calculation puts the formation energy at -0.70 eV per atom.